Version P
# CdPd2N, relaxed, DFT PBE-GGA
# DOS(E_F): 15.49 states/eV per cell
# size of the total moment: 4.23 μB/cell
data_CdPd2N
_chemical_formula_sum 'Cd4 Pd8 N4'
_cell_length_a 6.2208
_cell_length_b 6.2208
_cell_length_c 6.2208
_cell_angle_alpha 90.00
_cell_angle_beta 90.00
_cell_angle_gamma 90.00
_symmetry_space_group_name_H-M 'F m -3 m'
_symmetry_Int_Tables_number 225
_symmetry_space_group_name_Hall '-F 4 2 3'
loop_
_atom_site_label
_atom_site_type_symbol
_atom_site_fract_x
_atom_site_fract_y
_atom_site_fract_z
_atom_site_occupancy
Cd1 Cd 0.0000 0.0000 0.0000 1
Pd1 Pd 0.2500 0.2500 0.2500 1
N1 N 0.0000 0.0000 0.5000 1



Version Q
# CdPd2N, relaxed, DFT PBE-GGA
# DOS(E_F): 9.32 states/eV per cell
# size of the total moment: 0.00 μB/cell
data_CdPd2N
_chemical_formula_sum 'Cd4 Pd8 N4'
_cell_length_a 5.0816
_cell_length_b 5.0816
_cell_length_c 11.8414
_cell_angle_alpha 90.00
_cell_angle_beta 90.00
_cell_angle_gamma 90.00
_symmetry_space_group_name_H-M 'I -4 2 d'
_symmetry_Int_Tables_number 122
_symmetry_space_group_name_Hall 'I -4 2bw'
loop_
_atom_site_label
_atom_site_type_symbol
_atom_site_fract_x
_atom_site_fract_y
_atom_site_fract_z
_atom_site_occupancy
Cd1 Cd 0.0000 0.0000 0.0000 1
Pd1 Pd 0.0740 0.2500 0.6250 1
N1 N 0.0000 0.0000 0.5000 1



Which one sits at the top of the stability order? version Q does.